The following is a DFT calculation (PBE) of a relaxed structure of InGePbCl5.

The structure in POSCAR format:
```
InGePbCl5
1.0
-2.9955 5.4496 -4.6250
-5.9105 -4.9958 -0.4106
1.6763 3.7399 10.4287
Cl Pb Ge In
10 2 2 2
direct
0.5934 0.7808 0.9126
0.0535 0.9465 0.2500
0.6440 0.1091 0.4077
0.3560 0.8909 0.5923
0.9465 0.0535 0.7500
0.7808 0.5934 0.4126
0.2192 0.4066 0.5874
0.4066 0.2192 0.0874
0.1091 0.6440 0.9077
0.8909 0.3560 0.0923
0.0000 0.0000 0.0000
0.0000 0.0000 0.5000
0.2650 0.7350 0.7500
0.7350 0.2650 0.2500
0.6904 0.3096 0.7500
0.3096 0.6904 0.2500
```

Computed properties:
**E_form (uncorrected)**: -0.92 eV/atom
**Space group**: C2/c, No. 15



The following is a DFT calculation (PBE) of a relaxed structure of Rb2InGeCl6.

The structure in POSCAR format:
```
Rb2InGeCl6
1.0
-3.2856 5.8267 3.5923
0.4262 -3.8028 6.5580
3.3849 3.1540 6.0043
Cl Rb Ge In
6 2 1 1
direct
0.2542 0.7458 0.0000
0.7460 0.7460 0.5080
0.7458 0.2542 0.0000
0.2542 0.2542 0.0000
0.2540 0.2540 0.4920
0.7458 0.7458 0.0000
0.2500 0.7500 0.5000
0.7500 0.2500 0.5000
0.5000 0.5000 0.0000
0.0000 0.0000 0.0000
```

Computed properties:
**E_form (uncorrected)**: -1.32 eV/atom
**Space group**: I4/mmm, No. 139



The following is a DFT calculation (PBE) of a relaxed structure of RbIn2GeCl8.

The structure in POSCAR format:
```
RbIn2GeCl8
1.0
6.8240 0.0000 0.0000
3.4120 5.9098 0.0000
3.4120 1.9699 9.6476
In Cl Rb Ge
2 8 1 1
direct
0.2558 0.2558 0.2327
0.7442 0.7442 0.7673
0.0777 0.3660 0.8362
0.9223 0.6340 0.1638
0.7201 0.0777 0.8362
0.2799 0.9223 0.1638
0.8286 0.8286 0.5143
0.6340 0.2799 0.1638
0.1714 0.1714 0.4857
0.3660 0.7201 0.8362
0.5000 0.5000 0.5000
0.0000 0.0000 0.0000
```

Computed properties:
**E_form (uncorrected)**: -1.03 eV/atom
**Space group**: R-3, No. 148



The following is a DFT calculation (PBE) of a relaxed structure of Rb2InGeCl5.

The structure in POSCAR format:
```
Rb2InGeCl5
1.0
4.2061 0.0000 0.0000
-2.1030 9.5086 0.0000
0.0000 0.0000 15.6237
Cl In Rb Ge
10 2 4 2
direct
0.5068 0.0137 0.2539
0.7251 0.4502 0.9415
0.2489 0.4978 0.6718
0.2749 0.5498 0.4415
0.5957 0.1914 0.4742
0.7511 0.5022 0.1718
0.8882 0.7764 0.5768
0.1118 0.2236 0.0768
0.4932 0.9863 0.7539
0.4043 0.8086 0.9742
0.5484 0.0969 0.9219
0.4516 0.9031 0.4219
0.0765 0.1530 0.6332
0.8583 0.7166 0.8003
0.1417 0.2834 0.3003
0.9235 0.8470 0.1332
0.2337 0.4674 0.0505
0.7663 0.5326 0.5505
```

Computed properties:
**E_form (uncorrected)**: -1.28 eV/atom
**Space group**: Cmc2_1, No. 36



The following is a DFT calculation (PBE) of a relaxed structure of RbInGe2Cl.

The structure in POSCAR format:
```
RbInGe2Cl
1.0
5.2832 0.0000 0.0000
0.0000 5.2832 0.0000
0.0000 0.0000 5.9122
In Rb Cl Ge
1 1 1 2
direct
0.5000 0.5000 0.5000
0.0000 0.0000 0.5000
0.0000 0.0000 0.0000
0.0000 0.5000 0.0000
0.5000 0.0000 0.0000
```

Computed properties:
**E_form (uncorrected)**: 0.26 eV/atom
**Space group**: P4/mmm, No. 123



The following is a DFT calculation (PBE) of a relaxed structure of InGeS2Cl.

The structure in POSCAR format:
```
InGeS2Cl
1.0
-2.2223 4.0426 -2.1870
0.2909 -2.3007 -4.5483
-4.4677 -2.0497 0.7510
S Cl Ge In
2 1 1 1
direct
0.5000 0.0000 0.0000
0.0000 0.5000 0.0000
0.0000 0.0000 0.5000
0.5000 0.5000 0.5000
0.0000 0.0000 0.0000
```

Computed properties:
**E_form (uncorrected)**: 0.10 eV/atom
**Space group**: P4/mmm, No. 123
**ΔE to the lowest computed polymorph**: 24.9 kJ per mole of atoms